A crystal of RbCd2CoHg relaxed with PBEsol, computed with SCAN.

ρ = 6517 kg/m3
volume = 29.04 Å³/atom
symmetry = P4/mmm, No. 123
E_tot = -32.984 eV/atom

Structure (CIF):
```
data_RbCd2CoHg
_cell_length_a 5.3415
_cell_length_b 5.3415
_cell_length_c 5.0885
_cell_angle_alpha 90.00
_cell_angle_beta 90.00
_cell_angle_gamma 90.00
_space_group_name_H-M_alt 'P 1'
_space_group_IT_number 1
_space_group_name_Hall 'P 1'
loop_
_atom_site_label
_atom_site_type_symbol
_atom_site_fract_x
_atom_site_fract_y
_atom_site_fract_z
Rb1 Rb 0.0000 0.0000 0.0000
Cd1 Cd 0.0000 0.5000 0.5000
Cd2 Cd 0.5000 0.0000 0.5000
Co1 Co 0.5000 0.5000 0.0000
Hg1 Hg 0.5000 0.5000 0.5000
```

***

A crystal of CdCo2HgTe relaxed with PBEsol, computed with SCAN.

ρ = 7411 kg/m3
E_form (uncorrected) = 1.019 eV/atom
volume = 25.03 Å³/atom
symmetry = P4/mmm, No. 123

Structure (CIF):
```
data_CdCo2HgTe
_cell_length_a 4.7857
_cell_length_b 4.7857
_cell_length_c 5.4633
_cell_angle_alpha 90.00
_cell_angle_beta 90.00
_cell_angle_gamma 90.00
_space_group_name_H-M_alt 'P 1'
_space_group_IT_number 1
_space_group_name_Hall 'P 1'
loop_
_atom_site_label
_atom_site_type_symbol
_atom_site_fract_x
_atom_site_fract_y
_atom_site_fract_z
Cd1 Cd 0.0000 0.0000 0.0000
Co1 Co 0.0000 0.5000 0.5000
Co2 Co 0.5000 0.0000 0.5000
Hg1 Hg 0.5000 0.5000 0.5000
Te1 Te 0.5000 0.5000 0.0000
```

***

A crystal of Ho4CdCo relaxed with PBEsol, computed with SCAN.

ρ = 9835 kg/m3
volume = 23.39 Å³/atom
symmetry = F-43m, No. 216
E_tot = -40.882 eV/atom

Structure (CIF):
```
data_Ho4CdCo
_cell_length_a 9.2589
_cell_length_b 9.2589
_cell_length_c 9.2589
_cell_angle_alpha 60.00
_cell_angle_beta 60.00
_cell_angle_gamma 60.00
_space_group_name_H-M_alt 'P 1'
_space_group_IT_number 1
_space_group_name_Hall 'P 1'
loop_
_atom_site_label
_atom_site_type_symbol
_atom_site_fract_x
_atom_site_fract_y
_atom_site_fract_z
Ho1 Ho 0.0400 0.6533 0.6533
Ho2 Ho 0.0614 0.0614 0.4386
Ho3 Ho 0.0614 0.4386 0.0614
Ho4 Ho 0.0614 0.4386 0.4386
Ho5 Ho 0.1886 0.1886 0.8114
Ho6 Ho 0.1886 0.8114 0.1886
Ho7 Ho 0.1886 0.8114 0.8114
Ho8 Ho 0.4386 0.0614 0.0614
Ho9 Ho 0.4386 0.0614 0.4386
Ho10 Ho 0.4386 0.4386 0.0614
Ho11 Ho 0.6533 0.0400 0.6533
Ho12 Ho 0.6533 0.6533 0.0400
Ho13 Ho 0.6533 0.6533 0.6533
Ho14 Ho 0.8114 0.1886 0.1886
Ho15 Ho 0.8114 0.1886 0.8114
Ho16 Ho 0.8114 0.8114 0.1886
Cd1 Cd 0.4196 0.4196 0.4196
Cd2 Cd 0.4196 0.4196 0.7410
Cd3 Cd 0.4196 0.7410 0.4196
Cd4 Cd 0.7410 0.4196 0.4196
Co1 Co 0.4230 0.8590 0.8590
Co2 Co 0.8590 0.4230 0.8590
Co3 Co 0.8590 0.8590 0.4230
Co4 Co 0.8590 0.8590 0.8590
```

***

A crystal of Cd2CoI relaxed with PBEsol, computed with SCAN.

ρ = 7754 kg/m3
E_form (uncorrected) = 0.824 eV/atom
volume = 21.99 Å³/atom
symmetry = Fm-3m, No. 225

Structure (CIF):
```
data_Cd2CoI
_cell_length_a 7.0592
_cell_length_b 7.0592
_cell_length_c 7.0592
_cell_angle_alpha 90.00
_cell_angle_beta 90.00
_cell_angle_gamma 90.00
_space_group_name_H-M_alt 'P 1'
_space_group_IT_number 1
_space_group_name_Hall 'P 1'
loop_
_atom_site_label
_atom_site_type_symbol
_atom_site_fract_x
_atom_site_fract_y
_atom_site_fract_z
Cd1 Cd 0.2500 0.2500 0.2500
Cd2 Cd 0.2500 0.2500 0.7500
Cd3 Cd 0.2500 0.7500 0.2500
Cd4 Cd 0.2500 0.7500 0.7500
Cd5 Cd 0.7500 0.2500 0.2500
Cd6 Cd 0.7500 0.2500 0.7500
Cd7 Cd 0.7500 0.7500 0.2500
Cd8 Cd 0.7500 0.7500 0.7500
Co1 Co 0.0000 0.0000 0.0000
Co2 Co 0.0000 0.5000 0.5000
Co3 Co 0.5000 0.0000 0.5000
Co4 Co 0.5000 0.5000 0.0000
I1 I 0.0000 0.0000 0.5000
I2 I 0.0000 0.5000 0.0000
I3 I 0.5000 0.0000 0.0000
I4 I 0.5000 0.5000 0.5000
```

***

A crystal of CdCoI3 relaxed with PBEsol, computed with SCAN.

ρ = 6497 kg/m3
E_form (uncorrected) = 0.112 eV/atom
volume = 28.22 Å³/atom
symmetry = Pm-3m, No. 221
energy above the most stable polymorph in this dataset = 0 meV per atom

Structure (CIF):
```
data_CdCoI3
_cell_length_a 5.2062
_cell_length_b 5.2062
_cell_length_c 5.2062
_cell_angle_alpha 90.00
_cell_angle_beta 90.00
_cell_angle_gamma 90.00
_space_group_name_H-M_alt 'P 1'
_space_group_IT_number 1
_space_group_name_Hall 'P 1'
loop_
_atom_site_label
_atom_site_type_symbol
_atom_site_fract_x
_atom_site_fract_y
_atom_site_fract_z
Cd1 Cd 0.0000 0.0000 0.0000
Co1 Co 0.5000 0.5000 0.5000
I1 I 0.0000 0.5000 0.5000
I2 I 0.5000 0.0000 0.5000
I3 I 0.5000 0.5000 0.0000
```

***

A crystal of CdCoIN2 relaxed with PBEsol, computed with SCAN.

ρ = 6749 kg/m3
E_form (uncorrected) = 1.084 eV/atom
volume = 16.05 Å³/atom
symmetry = P4/mmm, No. 123

Structure (CIF):
```
data_CdCoIN2
_cell_length_a 3.8680
_cell_length_b 3.8680
_cell_length_c 5.3650
_cell_angle_alpha 90.00
_cell_angle_beta 90.00
_cell_angle_gamma 90.00
_space_group_name_H-M_alt 'P 1'
_space_group_IT_number 1
_space_group_name_Hall 'P 1'
loop_
_atom_site_label
_atom_site_type_symbol
_atom_site_fract_x
_atom_site_fract_y
_atom_site_fract_z
Cd1 Cd 0.0000 0.0000 0.0000
Co1 Co 0.5000 0.5000 0.5000
I1 I 0.5000 0.5000 0.0000
N1 N 0.0000 0.5000 0.5000
N2 N 0.5000 0.0000 0.5000
```

***

A crystal of CdCoI2O relaxed with PBEsol, computed with SCAN.

ρ = 6151 kg/m3
E_form (uncorrected) = 0.006 eV/atom
volume = 23.82 Å³/atom
symmetry = P4/mmm, No. 123

Structure (CIF):
```
data_CdCoI2O
_cell_length_a 5.8512
_cell_length_b 5.8512
_cell_length_c 3.4788
_cell_angle_alpha 90.00
_cell_angle_beta 90.00
_cell_angle_gamma 90.00
_space_group_name_H-M_alt 'P 1'
_space_group_IT_number 1
_space_group_name_Hall 'P 1'
loop_
_atom_site_label
_atom_site_type_symbol
_atom_site_fract_x
_atom_site_fract_y
_atom_site_fract_z
Cd1 Cd 0.0000 0.0000 0.0000
Co1 Co 0.5000 0.5000 0.0000
I1 I 0.0000 0.5000 0.5000
I2 I 0.5000 0.0000 0.5000
O1 O 0.5000 0.5000 0.5000
```

***

A crystal of CdCoPI2 relaxed with PBEsol, computed with SCAN.

ρ = 5638 kg/m3
E_form (uncorrected) = 0.351 eV/atom
volume = 26.87 Å³/atom
symmetry = P4/mmm, No. 123

Structure (CIF):
```
data_CdCoPI2
_cell_length_a 5.6768
_cell_length_b 5.6768
_cell_length_c 4.1685
_cell_angle_alpha 90.00
_cell_angle_beta 90.00
_cell_angle_gamma 90.00
_space_group_name_H-M_alt 'P 1'
_space_group_IT_number 1
_space_group_name_Hall 'P 1'
loop_
_atom_site_label
_atom_site_type_symbol
_atom_site_fract_x
_atom_site_fract_y
_atom_site_fract_z
Cd1 Cd 0.0000 0.0000 0.0000
Co1 Co 0.5000 0.5000 0.0000
P1 P 0.5000 0.5000 0.5000
I1 I 0.0000 0.5000 0.5000
I2 I 0.5000 0.0000 0.5000
```